Compound: KHoCo2Cl8
Source: Alexandria
Functional: PBE-GGA
Structure: optimized geometry

Cell lengths 6.4428, 6.4428, 28.7819 Å; angles 90.00, 90.00, 120.00 degrees
Space group R-3 (No. 148, hexagonal axes)
Unique sites:
K (0.0000, 0.0000, 0.0000) [3 per cell]
Ho (0.0000, 0.0000, 0.5000) [3 per cell]
Co (0.0000, 0.0000, 0.2465) [6 per cell]
Cl (0.0000, 0.0000, 0.3225) [6 per cell]
Cl (0.0000, 0.3358, 0.2209) [18 per cell]

## Properties
- raw total energy (eV per cell) = -152.0
- mass density (g/cm3) = 2.92
- uncorrected formation energy (eV per atom) = -1.333

Compound: AgSb2IBr
Source: Alexandria
Functional: PBE-GGA
Structure: optimized geometry

Cell lengths 5.4643, 5.4643, 5.5935 Å; angles 90.00, 90.00, 90.00 degrees
Space group P4/mmm (No. 123)
Unique sites:
Ag (0.0000, 0.0000, 0.0000) [1 per cell]
Sb (0.0000, 0.5000, 0.0000) [2 per cell]
I (0.0000, 0.0000, 0.5000) [1 per cell]
Br (0.5000, 0.5000, 0.5000) [1 per cell]

## Properties
- raw total energy (eV per cell) = -11.9
- mass density (g/cm3) = 5.55
- distance to the lowest polymorph of the same formula (eV per formula unit) = 0.00
- uncorrected formation energy (eV per atom) = 0.478

Compound: PW2Se
Source: Alexandria
Functional: PBE-GGA
Structure: optimized geometry

Cell lengths 5.7412, 5.7412, 10.2825 Å; angles 90.00, 90.00, 90.00 degrees
Space group I-42d (No. 122)
Unique sites:
P (0.0000, 0.0000, 0.0000) [4 per cell]
W (0.2315, 0.2500, 0.1250) [8 per cell]
Se (0.0000, 0.0000, 0.5000) [4 per cell]

## Properties
- raw total energy (eV per cell) = -127.0
- mass density (g/cm3) = 9.36
- distance to the lowest polymorph of the same formula (eV per formula unit) = 2.92
- uncorrected formation energy (eV per atom) = 0.761

Compound: LiYGaNi
Source: Alexandria
Functional: PBE-GGA
Structure: optimized geometry

Cell lengths 6.4193, 6.4193, 6.4193 Å; angles 90.00, 90.00, 90.00 degrees
Space group F-43m (No. 216)
Unique sites:
Li (0.0000, 0.0000, 0.0000) [4 per cell]
Y (0.2500, 0.2500, 0.2500) [4 per cell]
Ga (0.2500, 0.2500, 0.7500) [4 per cell]
Ni (0.0000, 0.0000, 0.5000) [4 per cell]

## Properties
- raw total energy (eV per cell) = -75.0
- mass density (g/cm3) = 5.63

Compound: ZrGa3I7
Source: Alexandria
Functional: PBE-GGA
Structure: optimized geometry

Cell lengths 12.2462, 10.6521, 7.9122 Å; angles 90.00, 96.15, 90.00 degrees
Space group Cm (No. 8)
Unique sites:
Zr (0.0000, 0.0000, 0.0000) [2 per cell]
Ga (0.0024, 0.2098, 0.5121) [4 per cell]
Ga (0.1013, 0.5000, 0.1412) [2 per cell]
I (0.0400, 0.5000, 0.4919) [2 per cell]
I (0.1393, 0.1859, 0.1905) [4 per cell]
I (0.1410, 0.0000, 0.7324) [2 per cell]
I (0.3592, 0.5000, 0.2819) [2 per cell]
I (0.3701, 0.3056, 0.8384) [4 per cell]

## Properties
- raw total energy (eV per cell) = -69.7
- mass density (g/cm3) = 3.85
- uncorrected formation energy (eV per atom) = -0.580

Compound: TaV2W
Source: Alexandria
Functional: PBE-GGA
Structure: optimized geometry

Cell lengths 3.1457, 4.5012, 8.7431 Å; angles 90.00, 90.00, 90.00 degrees
Space group Immm (No. 71)
Unique sites:
Ta (0.0000, 0.0000, 0.0000) [2 per cell]
V (0.0000, 0.5000, 0.2415) [4 per cell]
W (0.0000, 0.0000, 0.5000) [2 per cell]

## Properties
- raw total energy (eV per cell) = -86.2
- mass density (g/cm3) = 12.52

Compound: Nd3Er3Sc
Source: Alexandria
Functional: PBE-GGA
Structure: optimized geometry

Cell lengths 6.1963, 6.1963, 41.6065 Å; angles 90.00, 90.00, 120.00 degrees
Space group R-3 (No. 148, hexagonal axes)
Unique sites:
Nd (0.0001, 0.3324, 0.4365) [18 per cell]
Er (0.9999, 0.3328, 0.6330) [18 per cell]
Sc (0.0000, 0.0000, 0.1667) [6 per cell]

## Properties
- raw total energy (eV per cell) = -199.8
- mass density (g/cm3) = 7.05
- distance to the lowest polymorph of the same formula (eV per formula unit) = 0.78

Compound: SmDy7Tm5
Source: Alexandria
Functional: PBE-GGA
Structure: optimized geometry

Cell lengths 6.6348, 11.1153, 11.4452 Å; angles 90.00, 90.00, 90.00 degrees
Space group Imm2 (No. 44)
Unique sites:
Sm (0.0000, 0.0000, 0.0000) [2 per cell]
Dy (0.0000, 0.0000, 0.3049) [2 per cell]
Dy (0.0000, 0.0000, 0.6118) [2 per cell]
Dy (0.0000, 0.3270, 0.0535) [4 per cell]
Dy (0.0000, 0.3284, 0.5549) [4 per cell]
Dy (0.0000, 0.5000, 0.3016) [2 per cell]
Tm (0.0000, 0.5000, 0.8055) [2 per cell]
Tm (0.2347, 0.2297, 0.8037) [8 per cell]

## Properties
- raw total energy (eV per cell) = -112.0
- mass density (g/cm3) = 8.39

Compound: Tl2PtW
Source: Alexandria
Functional: PBE-GGA
Structure: optimized geometry

Cell lengths 6.7951, 6.7951, 6.7951 Å; angles 90.00, 90.00, 90.00 degrees
Space group Fm-3m (No. 225)
Unique sites:
Tl (0.2500, 0.2500, 0.2500) [8 per cell]
Pt (0.0000, 0.0000, 0.0000) [4 per cell]
W (0.0000, 0.0000, 0.5000) [4 per cell]

## Properties
- raw total energy (eV per cell) = -80.3
- mass density (g/cm3) = 16.68
- distance to the lowest polymorph of the same formula (eV per formula unit) = 2.28

Compound: LiPmSiRh
Source: Alexandria
Functional: PBE-GGA
Structure: optimized geometry

Cell lengths 6.5167, 6.5167, 6.5167 Å; angles 90.00, 90.00, 90.00 degrees
Space group F-43m (No. 216)
Unique sites:
Li (0.0000, 0.0000, 0.0000) [4 per cell]
Pm (0.2500, 0.2500, 0.2500) [4 per cell]
Si (0.2500, 0.2500, 0.7500) [4 per cell]
Rh (0.0000, 0.0000, 0.5000) [4 per cell]

## Properties
- raw total energy (eV per cell) = -86.2
- mass density (g/cm3) = 6.79
- uncorrected formation energy (eV per atom) = -0.530

Compound: Nb2VH2
Source: Alexandria
Functional: PBE-GGA
Structure: optimized geometry

Cell lengths 3.2786, 3.2786, 10.4330 Å; angles 90.00, 90.00, 90.00 degrees
Space group I4/mmm (No. 139)
Unique sites:
Nb (0.0000, 0.0000, 0.1454) [4 per cell]
V (0.0000, 0.0000, 0.5000) [2 per cell]
H (0.0000, 0.5000, 0.2500) [4 per cell]

## Properties
- raw total energy (eV per cell) = -73.4
- mass density (g/cm3) = 7.07
- distance to the lowest polymorph of the same formula (eV per formula unit) = 0.00

Compound: Pr8Os3RhBr4
Source: Alexandria
Functional: PBE-GGA
Structure: optimized geometry

Cell lengths 14.4313, 8.3229, 9.2295 Å; angles 90.00, 121.51, 90.00 degrees
Space group C2/m (No. 12)
Unique sites:
Pr (0.0189, 0.2460, 0.3031) [8 per cell]
Pr (0.2331, 0.0000, 0.6990) [4 per cell]
Pr (0.2350, 0.5000, 0.6968) [4 per cell]
Os (0.0000, 0.0000, 0.5000) [2 per cell]
Os (0.2500, 0.2500, 0.5000) [4 per cell]
Rh (0.0000, 0.5000, 0.5000) [2 per cell]
Br (0.0000, 0.0000, 0.0000) [2 per cell]
Br (0.0000, 0.5000, 0.0000) [2 per cell]
Br (0.2500, 0.2500, 0.0000) [4 per cell]

## Properties
- raw total energy (eV per cell) = -195.6
- mass density (g/cm3) = 7.45
- uncorrected formation energy (eV per atom) = -0.740

Compound: Ce2DySc
Source: Alexandria
Functional: PBE-GGA
Structure: optimized geometry

Cell lengths 3.3933, 3.3933, 33.8210 Å; angles 90.00, 90.00, 120.00 degrees
Space group R3m (No. 160, hexagonal axes)
Unique sites:
Ce (0.0000, 0.0000, 0.0000) [3 per cell]
Ce (0.0000, 0.0000, 0.1603) [3 per cell]
Dy (0.0000, 0.0000, 0.5783) [3 per cell]
Sc (0.0000, 0.0000, 0.7477) [3 per cell]

## Properties
- raw total energy (eV per cell) = -67.3
- mass density (g/cm3) = 7.20
- distance to the lowest polymorph of the same formula (eV per formula unit) = 0.01

Compound: ReHg3Cl
Source: Alexandria
Functional: PBE-GGA
Structure: optimized geometry

Cell lengths 5.4325, 5.4325, 5.4325 Å; angles 90.00, 90.00, 90.00 degrees
Space group Pm-3m (No. 221)
Unique sites:
Re (0.0000, 0.0000, 0.0000) [1 per cell]
Hg (0.0000, 0.0000, 0.5000) [3 per cell]
Cl (0.5000, 0.5000, 0.5000) [1 per cell]

## Properties
- raw total energy (eV per cell) = -11.6
- mass density (g/cm3) = 8.53
- distance to the lowest polymorph of the same formula (eV per formula unit) = 0.00
- uncorrected formation energy (eV per atom) = 0.724

Compound: Sm3Bi4Rh8
Source: Alexandria
Functional: PBE-GGA
Structure: optimized geometry

Cell lengths 13.3627, 13.3627, 13.3627 Å; angles 90.00, 90.00, 90.00 degrees
Space group Fm-3m (No. 225)
Unique sites:
Sm (0.0000, 0.0000, 0.2313) [24 per cell]
Bi (0.0000, 0.0000, 0.0000) [4 per cell]
Bi (0.0000, 0.0000, 0.5000) [4 per cell]
Bi (0.0000, 0.2500, 0.2500) [24 per cell]
Rh (0.1218, 0.1218, 0.3782) [32 per cell]
Rh (0.1673, 0.1673, 0.1673) [32 per cell]

## Properties
- raw total energy (eV per cell) = -760.4
- mass density (g/cm3) = 11.75

Compound: Ca5Ga2Pb
Source: Alexandria
Functional: PBE-GGA
Structure: optimized geometry

Cell lengths 8.1080, 8.1080, 14.9039 Å; angles 90.00, 90.00, 90.00 degrees
Space group I4/mcm (No. 140)
Unique sites:
Ca (0.0000, 0.0000, 0.0000) [4 per cell]
Ca (0.1775, 0.3225, 0.1376) [16 per cell]
Ga (0.1117, 0.3883, 0.5000) [8 per cell]
Pb (0.0000, 0.0000, 0.2500) [4 per cell]

## Properties
- raw total energy (eV per cell) = -94.0
- mass density (g/cm3) = 3.71

Compound: YTc2BC
Source: Alexandria
Functional: PBE-GGA
Structure: optimized geometry

Cell lengths 3.4956, 10.9292, 7.1807 Å; angles 90.00, 90.00, 90.00 degrees
Space group Cmcm (No. 63)
Unique sites:
Y (0.0000, 0.0436, 0.2500) [4 per cell]
Tc (0.0000, 0.3263, 0.0642) [8 per cell]
B (0.0000, 0.2351, 0.7500) [4 per cell]
C (0.0000, 0.5000, 0.0000) [4 per cell]

## Properties
- raw total energy (eV per cell) = -179.9
- mass density (g/cm3) = 7.45

Compound: KMnCl3
Source: Alexandria
Functional: PBE-GGA
Structure: optimized geometry

Cell lengths 6.1079, 7.7232, 8.4017 Å; angles 80.79, 89.22, 75.54 degrees
Space group P-1 (No. 2)
Unique sites:
K (0.1942, 0.2510, 0.3734) [2 per cell]
Mn (0.1354, 0.0728, 0.8325) [2 per cell]
Cl (0.1356, 0.3658, 0.7235) [2 per cell]
Cl (0.2460, 0.9703, 0.1135) [2 per cell]
Cl (0.2721, 0.8797, 0.6465) [2 per cell]

## Properties
- raw total energy (eV per cell) = -46.0
- mass density (g/cm3) = 1.76
- uncorrected formation energy (eV per atom) = -1.438